(1)
# Pr5MgSi2

A relaxed Pr5MgSi2 crystal (PBE, Alexandria).

a b c (Å): 7.8604 7.8604 9.5444
angles (deg): 114.32 114.32 90.00
Last column: nearest neighbours and their distance in Å.
Atoms (fractional coordinates):
Pr1 0.5408 0.6892 0.7300  3 Si 3.13-3.14, 2 Mg 3.40
Pr2 0.8108 0.9592 0.2700  3 Si 3.13-3.14, 2 Mg 3.40
Pr3 0.0000 0.0000 0.0000  4 Si 3.16
Pr4 0.5000 0.5000 0.0000  4 Si 3.16
Pr5 0.1892 0.0408 0.7300  3 Si 3.13-3.14, 2 Mg 3.40
Pr6 0.6892 0.1892 0.7300  3 Si 3.13-3.14, 2 Mg 3.40
Pr7 0.0408 0.5408 0.7300  3 Si 3.13-3.14, 2 Mg 3.40
Pr8 0.3108 0.8108 0.2700  3 Si 3.13-3.14, 2 Mg 3.40
Pr9 0.9592 0.4592 0.2700  3 Si 3.13-3.14, 2 Mg 3.40
Pr10 0.4592 0.3108 0.2700  3 Si 3.13-3.14, 2 Mg 3.40
Mg1 0.7500 0.7500 0.5000  8 Pr 3.40
Mg2 0.2500 0.2500 0.5000  8 Pr 3.40
Si1 0.1140 0.3860 0.0000  1 Si 2.53
Si2 0.6140 0.1140 0.0000  1 Si 2.53
Si3 0.3860 0.8860 0.0000  1 Si 2.53
Si4 0.8860 0.6140 0.0000  1 Si 2.53

---

(2)
# PrMgSi2

A relaxed PrMgSi2 crystal (PBE, Alexandria).

a b c (Å): 18.6787 18.6787 18.6787
angles (deg): 166.83 166.83 18.67
Last column: nearest neighbours and their distance in Å.
Atoms (fractional coordinates):
Pr1 0.6724 0.1724 0.5000  10 Si 3.12-3.27
Pr2 0.8276 0.3276 0.5000  10 Si 3.12-3.27
Pr3 0.9224 0.9224 0.0000  10 Si 3.12-3.27
Pr4 0.0776 0.0776 0.0000  10 Si 3.12-3.27
Mg1 0.0000 0.5000 0.5000  4 Si 2.77, 4 Mg 3.03
Mg2 0.5000 0.0000 0.5000  4 Si 2.77, 4 Mg 3.03
Mg3 0.2500 0.2500 0.0000  4 Si 2.77, 4 Mg 3.03
Mg4 0.7500 0.7500 0.0000  4 Si 2.77, 4 Mg 3.03
Si1 0.2024 0.7024 0.5000  1 Si 2.33
Si2 0.3607 0.8607 0.5000  3 Si 2.33-2.39
Si3 0.1393 0.6393 0.5000  3 Si 2.33-2.39
Si4 0.3893 0.3893 0.0000  3 Si 2.33-2.39
Si5 0.5476 0.5476 0.0000  1 Si 2.33
Si6 0.6107 0.6107 0.0000  3 Si 2.33-2.39
Si7 0.4524 0.4524 0.0000  1 Si 2.33
Si8 0.2976 0.7976 0.5000  1 Si 2.33

Results
E above lowest polymorph (meV/atom): 0

---

(3)
# PrMgSi2

A relaxed PrMgSi2 crystal (PBE, Alexandria).

a b c (Å): 3.8780 8.1045 10.7923
angles (deg): 90.00 90.00 90.00
Last column: nearest neighbours and their distance in Å.
Atoms (fractional coordinates):
Pr1 0.7500 0.8740 0.1419  8 Si 3.11-3.35, 2 Mg 3.46
Pr2 0.2500 0.1260 0.8581  8 Si 3.11-3.35, 2 Mg 3.46
Pr3 0.7500 0.3740 0.3581  8 Si 3.11-3.35, 2 Mg 3.46
Pr4 0.2500 0.6260 0.6419  8 Si 3.11-3.35, 2 Mg 3.46
Mg1 0.2500 0.5007 0.1103  5 Si 2.66-2.83
Mg2 0.2500 0.0007 0.3897  5 Si 2.66-2.83
Mg3 0.7500 0.4993 0.8897  5 Si 2.66-2.83
Mg4 0.7500 0.9993 0.6103  5 Si 2.66-2.83
Si1 0.7500 0.8280 0.8204  2 Si 2.42, 1 Mg 2.66
Si2 0.2500 0.1720 0.1796  2 Si 2.42, 1 Mg 2.66
Si3 0.7500 0.3280 0.6796  2 Si 2.42, 1 Mg 2.66
Si4 0.2500 0.6720 0.3204  2 Si 2.42, 1 Mg 2.66
Si5 0.7500 0.7558 0.4390  2 Si 2.42, 1 Mg 2.70
Si6 0.2500 0.7442 0.9390  2 Si 2.42, 1 Mg 2.70
Si7 0.7500 0.2558 0.0610  2 Si 2.42, 1 Mg 2.70
Si8 0.2500 0.2442 0.5610  2 Si 2.42, 1 Mg 2.70

Results
E above lowest polymorph (meV/atom): 54

---

(4)
# PrMgSi2

A relaxed PrMgSi2 crystal (PBE, Alexandria).

a b c (Å): 4.4547 4.4547 5.6856
angles (deg): 66.94 66.94 60.00
Last column: nearest neighbours and their distance in Å.
Atoms (fractional coordinates):
Pr1 0.5000 0.5000 0.5000  8 Si 3.15-3.26
Si1 0.2860 0.2860 0.1419  3 Mg 2.67, 3 Si 2.95
Si2 0.7140 0.7140 0.8581  3 Mg 2.67, 3 Si 2.95
Mg1 0.0000 0.0000 0.0000  6 Si 2.67

Results
E above lowest polymorph (meV/atom): 282

---

(5)
# PrMg6Si2

A relaxed PrMg6Si2 crystal (PBE, Alexandria).

a b c (Å): 4.3280 4.3280 10.4896
angles (deg): 90.00 90.00 90.00
Last column: nearest neighbours and their distance in Å.
Atoms (fractional coordinates):
Pr1 0.0000 0.0000 0.0000  8 Si 3.28, 8 Mg 3.59
Mg1 0.0000 0.5000 0.2729  2 Si 2.74, 4 Mg 3.06
Mg2 0.5000 0.0000 0.2729  2 Si 2.74, 4 Mg 3.06
Mg3 0.0000 0.5000 0.7271  2 Si 2.74, 4 Mg 3.06
Mg4 0.5000 0.0000 0.7271  2 Si 2.74, 4 Mg 3.06
Mg5 0.5000 0.5000 0.5000  12 Mg 3.06-3.22
Mg6 0.0000 0.0000 0.5000  12 Mg 3.06-3.22
Si1 0.5000 0.5000 0.1126  1 Si 2.36
Si2 0.5000 0.5000 0.8874  1 Si 2.36

---

(6)
# Pr2MgSi2

A relaxed Pr2MgSi2 crystal (PBE, Alexandria).

a b c (Å): 4.3995 7.4387 7.4387
angles (deg): 90.00 90.00 90.00
Last column: nearest neighbours and their distance in Å.
Atoms (fractional coordinates):
Pr1 0.5000 0.3197 0.1803  6 Si 3.08-3.14
Pr2 0.5000 0.8197 0.3197  6 Si 3.08-3.14
Pr3 0.5000 0.1803 0.6803  6 Si 3.08-3.14
Pr4 0.5000 0.6803 0.8197  6 Si 3.08-3.14
Si1 0.0000 0.6145 0.1145  1 Si 2.41
Si2 0.0000 0.1145 0.3855  1 Si 2.41
Si3 0.0000 0.8855 0.6145  1 Si 2.41
Si4 0.0000 0.3855 0.8855  1 Si 2.41
Mg1 0.0000 0.0000 0.0000  4 Si 2.99
Mg2 0.0000 0.5000 0.5000  4 Si 2.99

---

(7)
# PrMg2Si

A relaxed PrMg2Si crystal (PBE, Alexandria).

a b c (Å): 4.8134 4.3975 4.3975
angles (deg): 90.00 90.00 90.00
Last column: nearest neighbours and their distance in Å.
Atoms (fractional coordinates):
Pr1 0.5000 0.5000 0.5000  4 Si 3.11, 8 Mg 3.26
Si1 0.5000 0.0000 0.0000  4 Pr 3.11, 8 Mg 3.26
Mg1 0.0000 0.0000 0.5000  4 Mg 3.11, 4 Pr 3.26, 4 Si 3.26
Mg2 0.0000 0.5000 0.0000  4 Mg 3.11, 4 Pr 3.26, 4 Si 3.26

---

(8)
# Pr2MgZn4Si3

A relaxed Pr2MgZn4Si3 crystal (PBE, Alexandria).

a b c (Å): 4.2021 4.2021 10.8098
angles (deg): 90.00 90.00 90.00
Last column: nearest neighbours and their distance in Å.
Atoms (fractional coordinates):
Pr1 0.5000 0.0000 0.2414  6 Si 3.19-3.50, 8 Zn 3.23-3.35, 2 Mg 3.50
Pr2 0.0000 0.5000 0.7586  6 Si 3.19-3.50, 8 Zn 3.23-3.35, 2 Mg 3.50
Mg1 0.5000 0.5000 0.5000  4 Zn 2.60
Zn1 0.5000 0.5000 0.0000  4 Si 2.55
Zn2 0.0000 0.0000 0.0000  4 Si 2.55
Zn3 0.5000 0.0000 0.6424  3 Si 2.42-2.60, 2 Mg 2.60
Zn4 0.0000 0.5000 0.3576  3 Si 2.42-2.60, 2 Mg 2.60
Si1 0.0000 0.0000 0.5000  4 Zn 2.60
Si2 0.5000 0.0000 0.8663  5 Zn 2.42-2.55
Si3 0.0000 0.5000 0.1337  5 Zn 2.42-2.55

---

Formation energy (no corrections), record by record: -0.36; -0.53; -0.48; -0.25; -0.23; -0.66; -0.27; -0.38 eV/atom